The following is a meta-GGA SCAN calculation of a PBEsol-optimized structure of TlCo2Ru, from Alexandria.

It has space group P4/mmm (No. 123), with a = 2.756 Å, b = 2.756 Å, c = 7.150 Å, α = 90.00°, β = 90.00° and γ = 90.00°. The asymmetric unit holds Tl at (0.000, 0.000, 0.000), Co at (0.500, 0.500, 0.279) and Ru at (0.000, 0.000, 0.500).

As for the volume: 54 Å³ per cell. The calculation puts the energy at -34.856 eV per atom. The distance to the lowest polymorph of the same formula is 0.513 eV per formula unit. The formation energy comes out at 2.4 eV/f.u.